Entry 1:
Material: BaSbBr3
Method: DFT, GGA-PBE
State: relaxed

Geometry as CIF:
```
data_BaSbBr3
_chemical_formula_sum 'Ba1 Sb1 Br3'
_cell_length_a 5.8575
_cell_length_b 5.8575
_cell_length_c 5.8575
_cell_angle_alpha 90.00
_cell_angle_beta 90.00
_cell_angle_gamma 90.00
_symmetry_space_group_name_H-M 'P m -3 m'
_symmetry_Int_Tables_number 221
_symmetry_space_group_name_Hall '-P 4 2 3'
loop_
_atom_site_label
_atom_site_fract_x
_atom_site_fract_y
_atom_site_fract_z
_atom_site_occupancy
Ba1 0.0000 0.0000 0.0000 1
Sb1 0.5000 0.5000 0.5000 1
Br1 0.0000 0.5000 0.5000 1
```

Values from the calculation:
The value obtained for the density of states at the Fermi level is 0.62 states/eV per atom. The distance to the lowest polymorph of the same formula is 0 meV per atom. As for the crystal system: cubic.



Entry 2:
Material: BaSbBr
Method: DFT, GGA-PBE
State: relaxed

Geometry as CIF:
```
data_BaSbBr
_chemical_formula_sum 'Ba2 Sb2 Br2'
_cell_length_a 3.8605
_cell_length_b 3.8605
_cell_length_c 16.4235
_cell_angle_alpha 90.00
_cell_angle_beta 90.00
_cell_angle_gamma 90.00
_symmetry_space_group_name_H-M 'I 4 m m'
_symmetry_Int_Tables_number 107
_symmetry_space_group_name_Hall 'I 4 -2'
loop_
_atom_site_label
_atom_site_fract_x
_atom_site_fract_y
_atom_site_fract_z
_atom_site_occupancy
Ba1 0.0000 0.0000 0.0000 1
Sb1 0.0000 0.0000 0.6585 1
Br1 0.0000 0.0000 0.3925 1
```

Values from the calculation:
The value obtained for the density of states at the Fermi level is 0.51 states/eV per atom. The distance to the lowest polymorph of the same formula is 544 meV per atom. As for the crystal system: tetragonal.



Entry 3:
Material: Ba8Sb4Br3
Method: DFT, GGA-PBE
State: relaxed

Geometry as CIF:
```
data_Ba8Sb4Br3
_chemical_formula_sum 'Ba16 Sb8 Br6'
_cell_length_a 13.9500
_cell_length_b 14.1571
_cell_length_c 9.8186
_cell_angle_alpha 90.00
_cell_angle_beta 134.42
_cell_angle_gamma 90.00
_symmetry_space_group_name_H-M 'C 1 2/m 1'
_symmetry_Int_Tables_number 12
_symmetry_space_group_name_Hall '-C 2y'
loop_
_atom_site_label
_atom_site_fract_x
_atom_site_fract_y
_atom_site_fract_z
_atom_site_occupancy
Ba1 0.0000 0.2411 0.0000 1
Ba2 0.0000 0.2581 0.5000 1
Ba3 0.2479 0.0000 0.4797 1
Ba4 0.2504 0.0000 0.0061 1
Sb1 0.0000 0.0000 0.0000 1
Sb2 0.0000 0.5000 0.5000 1
Sb3 0.2500 0.2500 0.0000 1
Br1 0.0000 0.0000 0.5000 1
Br2 0.2500 0.2500 0.5000 1
```

Values from the calculation:
The value obtained for the density of states at the Fermi level is 0.18 states/eV per atom. For the total DFT energy (no corrections), the calculation gives -3.80 eV/atom. As for the crystal system: monoclinic.



Entry 4:
Material: BaSbBr
Method: DFT, GGA-PBE
State: relaxed

Geometry as CIF:
```
data_BaSbBr
_chemical_formula_sum 'Ba4 Sb4 Br4'
_cell_length_a 7.8723
_cell_length_b 7.8723
_cell_length_c 7.8723
_cell_angle_alpha 90.00
_cell_angle_beta 90.00
_cell_angle_gamma 90.00
_symmetry_space_group_name_H-M 'F -4 3 m'
_symmetry_Int_Tables_number 216
_symmetry_space_group_name_Hall 'F -4 2 3'
loop_
_atom_site_label
_atom_site_fract_x
_atom_site_fract_y
_atom_site_fract_z
_atom_site_occupancy
Ba1 0.0000 0.0000 0.0000 1
Sb1 0.0000 0.0000 0.5000 1
Br1 0.2500 0.2500 0.2500 1
```

Values from the calculation:
The value obtained for the density of states at the Fermi level is 1.16 states/eV per atom. The distance to the lowest polymorph of the same formula is 835 meV per atom. As for the crystal system: cubic.



Entry 5:
Material: BaSbBr
Method: DFT, GGA-PBE
State: relaxed

Geometry as CIF:
```
data_BaSbBr
_chemical_formula_sum 'Ba4 Sb4 Br4'
_cell_length_a 8.1501
_cell_length_b 8.1501
_cell_length_c 8.1501
_cell_angle_alpha 90.00
_cell_angle_beta 90.00
_cell_angle_gamma 90.00
_symmetry_space_group_name_H-M 'F -4 3 m'
_symmetry_Int_Tables_number 216
_symmetry_space_group_name_Hall 'F -4 2 3'
loop_
_atom_site_label
_atom_site_fract_x
_atom_site_fract_y
_atom_site_fract_z
_atom_site_occupancy
Ba1 0.0000 0.0000 0.0000 1
Sb1 0.2500 0.2500 0.7500 1
Br1 0.2500 0.2500 0.2500 1
```

Values from the calculation:
The value obtained for the density of states at the Fermi level is 1.15 states/eV per atom. The distance to the lowest polymorph of the same formula is 774 meV per atom. As for the crystal system: cubic.



Entry 6:
Material: Ba3SbBr
Method: DFT, GGA-PBE
State: relaxed

Geometry as CIF:
```
data_Ba3SbBr
_chemical_formula_sum 'Ba6 Sb2 Br2'
_cell_length_a 9.4797
_cell_length_b 4.8137
_cell_length_c 10.0034
_cell_angle_alpha 90.00
_cell_angle_beta 100.45
_cell_angle_gamma 90.00
_symmetry_space_group_name_H-M 'P 1 21/m 1'
_symmetry_Int_Tables_number 11
_symmetry_space_group_name_Hall '-P 2yb'
loop_
_atom_site_label
_atom_site_fract_x
_atom_site_fract_y
_atom_site_fract_z
_atom_site_occupancy
Ba1 0.0884 0.2500 0.2769 1
Ba2 0.3125 0.2500 0.9774 1
Ba3 0.3902 0.7500 0.6236 1
Sb1 0.3566 0.7500 0.2540 1
Br1 0.1367 0.2500 0.6289 1
```

Values from the calculation:
The value obtained for the density of states at the Fermi level is 0.62 states/eV per atom. The distance to the lowest polymorph of the same formula is 0 meV per atom. As for the crystal system: monoclinic.



Q: Which formula does entry 2 have?
A: BaSbBr